Entry 1:
# Ac6As5S PBE optimized geometry
data_Ac6As5S
_chemical_formula_sum 'Ac6 As5 S1'
_symmetry_space_group_name_H-M 'P 1'
_symmetry_Int_Tables_number 1
_cell_length_a 7.821
_cell_length_b 7.817
_cell_length_c 7.817
_cell_angle_alpha 60.00
_cell_angle_beta 80.41
_cell_angle_gamma 70.54
loop_
_symmetry_equiv_pos_as_xyz
'x,y,z'
loop_
_atom_site_label
_atom_site_fract_x
_atom_site_fract_y
_atom_site_fract_z
_atom_site_occupancy
Ac1 0.750 0.417 0.666 1
Ac2 0.750 0.083 0.334 1
Ac3 0.251 0.250 0.000 1
Ac4 0.250 0.583 0.334 1
Ac5 0.749 0.750 0.000 1
Ac6 0.250 0.917 0.666 1
As1 0.500 0.167 0.666 1
As2 0.000 0.667 0.667 1
As3 0.500 0.833 0.334 1
As4 0.000 0.333 0.333 1
As5 0.500 0.500 0.000 1
S1 0.000 0.000 0.000 1
# density of states at the Fermi level	2.88	states/eV per cell
# crystal system	monoclinic
# raw formation energy	-19.23	eV per formula unit



Entry 2:
# Y3USe6 PBE optimized geometry
data_Y3USe6
_chemical_formula_sum 'Y6 U2 Se12'
_symmetry_space_group_name_H-M 'P 1'
_symmetry_Int_Tables_number 1
_cell_length_a 7.153
_cell_length_b 8.913
_cell_length_c 8.915
_cell_angle_alpha 102.73
_cell_angle_beta 90.00
_cell_angle_gamma 90.00
loop_
_symmetry_equiv_pos_as_xyz
'x,y,z'
loop_
_atom_site_label
_atom_site_fract_x
_atom_site_fract_y
_atom_site_fract_z
_atom_site_occupancy
Y1 0.379 0.405 0.595 1
Y2 0.481 0.915 0.704 1
Y3 0.981 0.705 0.915 1
Y4 0.981 0.085 0.296 1
Y5 0.481 0.295 0.085 1
Y6 0.879 0.595 0.405 1
Se1 0.710 0.561 0.098 1
Se2 0.123 0.771 0.230 1
Se3 0.210 0.439 0.902 1
Se4 0.172 0.368 0.301 1
Se5 0.709 0.902 0.439 1
Se6 0.209 0.098 0.561 1
Se7 0.672 0.632 0.699 1
Se8 0.261 0.009 0.991 1
Se9 0.672 0.301 0.368 1
Se10 0.623 0.229 0.770 1
Se11 0.172 0.699 0.632 1
Se12 0.761 0.991 0.009 1
U1 0.499 0.833 0.167 1
U2 0.999 0.167 0.833 1
# density of states at the Fermi level	11.05	states/eV per cell
# crystal system	monoclinic
# raw formation energy	-15.76	eV per formula unit



Entry 3:
# AcIn3Sn PBE optimized geometry
data_AcIn3Sn
_chemical_formula_sum 'Ac2 In6 Sn2'
_symmetry_space_group_name_H-M 'P 1'
_symmetry_Int_Tables_number 1
_cell_length_a 5.374
_cell_length_b 7.484
_cell_length_c 7.457
_cell_angle_alpha 90.00
_cell_angle_beta 90.00
_cell_angle_gamma 90.00
loop_
_symmetry_equiv_pos_as_xyz
'x,y,z'
loop_
_atom_site_label
_atom_site_fract_x
_atom_site_fract_y
_atom_site_fract_z
_atom_site_occupancy
Sn1 0.000 0.000 0.584 1
Sn2 0.500 0.500 0.416 1
In1 0.500 0.500 0.028 1
In2 0.500 0.193 0.768 1
In3 0.000 0.307 0.232 1
In4 0.000 0.693 0.232 1
In5 0.000 0.000 0.972 1
In6 0.500 0.807 0.768 1
Ac1 0.500 0.000 0.295 1
Ac2 0.000 0.500 0.705 1
# density of states at the Fermi level	4.28	states/eV per cell
# crystal system	orthorhombic
# formation energy from the elements	-1.25	eV per formula unit



Entry 4:
# In5Os PBE optimized geometry
data_In5Os
_chemical_formula_sum 'In5 Os1'
_symmetry_space_group_name_H-M 'P 1'
_symmetry_Int_Tables_number 1
_cell_length_a 8.927
_cell_length_b 8.927
_cell_length_c 4.668
_cell_angle_alpha 90.00
_cell_angle_beta 90.00
_cell_angle_gamma 157.92
loop_
_symmetry_equiv_pos_as_xyz
'x,y,z'
loop_
_atom_site_label
_atom_site_fract_x
_atom_site_fract_y
_atom_site_fract_z
_atom_site_occupancy
In1 0.647 0.353 0.000 1
In2 0.476 0.524 0.500 1
In3 0.754 0.246 0.500 1
In4 0.341 0.659 0.000 1
In5 0.003 0.997 0.000 1
Os1 0.113 0.887 0.500 1
# density of states at the Fermi level	3.62	states/eV per cell
# crystal system	orthorhombic
# formation energy from the elements	2.14	eV per formula unit



Entry 5:
# PmPr2Tm3Te6 PBE optimized geometry
data_PmPr2Tm3Te6
_chemical_formula_sum 'Pm1 Pr2 Tm3 Te6'
_symmetry_space_group_name_H-M 'P 1'
_symmetry_Int_Tables_number 1
_cell_length_a 4.320
_cell_length_b 9.001
_cell_length_c 9.963
_cell_angle_alpha 105.87
_cell_angle_beta 102.52
_cell_angle_gamma 90.00
loop_
_symmetry_equiv_pos_as_xyz
'x,y,z'
loop_
_atom_site_label
_atom_site_fract_x
_atom_site_fract_y
_atom_site_fract_z
_atom_site_occupancy
Pr1 0.833 0.665 0.665 1
Pr2 0.167 0.335 0.335 1
Tm1 0.500 0.500 0.000 1
Tm2 0.168 0.834 0.336 1
Tm3 0.832 0.166 0.664 1
Te1 0.662 0.595 0.324 1
Te2 0.338 0.405 0.676 1
Te3 0.331 0.928 0.662 1
Te4 0.005 0.742 0.010 1
Te5 0.669 0.072 0.338 1
Te6 0.995 0.258 0.990 1
Pm1 0.500 0.000 0.000 1
# density of states at the Fermi level	5.27	states/eV per cell
# crystal system	monoclinic
# raw formation energy	-15.72	eV per formula unit



Entry 6:
# Ni2HgMo PBE optimized geometry
data_Ni2HgMo
_chemical_formula_sum 'Ni2 Hg1 Mo1'
_symmetry_space_group_name_H-M 'P 1'
_symmetry_Int_Tables_number 1
_cell_length_a 6.628
_cell_length_b 4.622
_cell_length_c 2.746
_cell_angle_alpha 89.91
_cell_angle_beta 65.66
_cell_angle_gamma 126.48
loop_
_symmetry_equiv_pos_as_xyz
'x,y,z'
loop_
_atom_site_label
_atom_site_fract_x
_atom_site_fract_y
_atom_site_fract_z
_atom_site_occupancy
Ni1 0.000 0.000 0.000 1
Ni2 0.500 0.000 0.500 1
Mo1 0.500 0.500 0.000 1
Hg1 0.000 0.500 0.500 1
# density of states at the Fermi level	4.39	states/eV per cell
# crystal system	monoclinic
# formation energy from the elements	1.41	eV per formula unit



Entry 7:
# NpInAgHg PBE optimized geometry
data_NpInAgHg
_chemical_formula_sum 'Np1 In1 Ag1 Hg1'
_symmetry_space_group_name_H-M 'P 1'
_symmetry_Int_Tables_number 1
_cell_length_a 5.101
_cell_length_b 5.101
_cell_length_c 5.101
_cell_angle_alpha 60.00
_cell_angle_beta 60.00
_cell_angle_gamma 60.00
loop_
_symmetry_equiv_pos_as_xyz
'x,y,z'
loop_
_atom_site_label
_atom_site_fract_x
_atom_site_fract_y
_atom_site_fract_z
_atom_site_occupancy
Ag1 0.750 0.750 0.750 1
In1 0.000 0.000 0.000 1
Np1 0.500 0.500 0.500 1
Hg1 0.250 0.250 0.250 1
# density of states at the Fermi level	8.69	states/eV per cell
# crystal system	cubic
# formation energy from the elements	0.52	eV per formula unit



Entry 8:
# Ca3Pu2N4 PBE optimized geometry
data_Ca3Pu2N4
_chemical_formula_sum 'Ca3 Pu2 N4'
_symmetry_space_group_name_H-M 'P 1'
_symmetry_Int_Tables_number 1
_cell_length_a 3.528
_cell_length_b 6.116
_cell_length_c 7.778
_cell_angle_alpha 76.00
_cell_angle_beta 76.89
_cell_angle_gamma 73.24
loop_
_symmetry_equiv_pos_as_xyz
'x,y,z'
loop_
_atom_site_label
_atom_site_fract_x
_atom_site_fract_y
_atom_site_fract_z
_atom_site_occupancy
Ca1 0.000 0.000 0.000 1
Ca2 0.207 0.399 0.186 1
Ca3 0.793 0.601 0.814 1
N1 0.413 0.301 0.873 1
N2 0.198 0.932 0.672 1
N3 0.802 0.068 0.328 1
N4 0.587 0.699 0.127 1
Pu1 0.600 0.187 0.613 1
Pu2 0.400 0.813 0.387 1
# density of states at the Fermi level	12.67	states/eV per cell
# crystal system	monoclinic
# raw formation energy	-8.98	eV per formula unit